Entry 1:
VASP calculation (PBE) on a relaxed structure of DySnPt2.

The structure belongs to space group P2_1/m (No. 11); the cell edges are 5.8252, 4.3261 and 7.0852 Å and the angles 90.00°, 112.74° and 90.00°. The asymmetric unit holds Dy at (0.2275, 0.2500, 0.4295), Sn at (0.1790, 0.2500, 0.9038), Pt at (0.3261, 0.7500, 0.1797) and Pt at (0.3355, 0.7500, 0.7427).

The calculated density is 13.54 g/cm³. For the energy relative to the elements, the calculation gives -0.9988 eV per atom. For the spin magnetization, the calculation gives 0.000 μB per atom.

***

Entry 2:
VASP calculation (PBE) on a relaxed structure of DySnPt.

The structure belongs to space group P-62m (No. 189); the cell edges are 7.5193, 7.5193 and 4.0237 Å and the angles 90.00°, 90.00° and 120.00°. The asymmetric unit holds Dy at (0.0000, 0.4053, 0.0000), Sn at (0.0000, 0.7410, 0.5000), Pt at (0.0000, 0.0000, 0.0000) and Pt at (0.3333, 0.6667, 0.5000).

The calculated density is 12.04 g/cm³. For the energy relative to the elements, the calculation gives -1.1026 eV per atom. For the spin magnetization, the calculation gives 0.000 μB per atom.